1.
Crystalline Er2Tm2CF5 at its relaxed geometry. Source: OQMD, functional PBE.

a b c (Å): 7.481 7.481 6.657
angles (deg): 108.49 108.49 26.42
Atoms (fractional coordinates):
Er (0.005, 0.005, 0.264)
Er (0.995, 0.995, 0.736)
Tm (0.334, 0.334, 0.360)
Tm (0.666, 0.666, 0.640)
C (0.500, 0.500, 0.500)
F (0.172, 0.172, 0.864)
F (0.179, 0.179, 0.409)
F (0.500, 0.500, 0.000)
F (0.821, 0.821, 0.591)
F (0.828, 0.828, 0.136)

The value obtained for the total moment is 0.001 μB/atom. The energy comes out at -6.295 eV/atom.


2.
Crystalline HoTe3 at its relaxed geometry. Source: OQMD, functional PBE.

a b c (Å): 4.326 26.020 4.330
angles (deg): 90.00 90.00 90.00
Atoms (fractional coordinates):
Ho (0.000, 0.171, 0.250)
Ho (0.000, 0.829, 0.750)
Ho (0.500, 0.329, 0.750)
Ho (0.500, 0.671, 0.250)
Te (0.000, 0.075, 0.750)
Te (0.000, 0.293, 0.250)
Te (0.000, 0.425, 0.750)
Te (0.000, 0.575, 0.250)
Te (0.000, 0.707, 0.750)
Te (0.000, 0.925, 0.250)
Te (0.500, 0.075, 0.250)
Te (0.500, 0.207, 0.750)
Te (0.500, 0.425, 0.250)
Te (0.500, 0.575, 0.750)
Te (0.500, 0.793, 0.250)
Te (0.500, 0.925, 0.750)

The value obtained for the total moment is 0.002 μB/atom. The energy comes out at -4.400 eV/atom.


3.
Crystalline NbGaW at its relaxed geometry. Source: OQMD, functional PBE.

a b c (Å): 6.217 6.217 6.217
angles (deg): 90.00 90.00 90.00
Atoms (fractional coordinates):
Nb (0.000, 0.000, 0.000)
Nb (0.000, 0.500, 0.500)
Nb (0.500, 0.000, 0.500)
Nb (0.500, 0.500, 0.000)
Ga (0.000, 0.000, 0.500)
Ga (0.000, 0.500, 0.000)
Ga (0.500, 0.000, 0.000)
Ga (0.500, 0.500, 0.500)
W (0.250, 0.250, 0.750)
W (0.250, 0.750, 0.250)
W (0.750, 0.250, 0.250)
W (0.750, 0.750, 0.750)

The value obtained for the total moment is 0.004 μB/atom. The energy comes out at -7.909 eV/atom.


4.
Crystalline PaBW at its relaxed geometry. Source: OQMD, functional PBE.

a b c (Å): 6.160 6.160 6.160
angles (deg): 90.00 90.00 90.00
Atoms (fractional coordinates):
Pa (0.000, 0.000, 0.000)
Pa (0.000, 0.500, 0.500)
Pa (0.500, 0.000, 0.500)
Pa (0.500, 0.500, 0.000)
B (0.250, 0.250, 0.750)
B (0.250, 0.750, 0.250)
B (0.750, 0.250, 0.250)
B (0.750, 0.750, 0.750)
W (0.250, 0.250, 0.250)
W (0.250, 0.750, 0.750)
W (0.750, 0.250, 0.750)
W (0.750, 0.750, 0.250)

The value obtained for the total moment is 0.000 μB/atom. The energy comes out at -8.073 eV/atom.


Number 1: volume 156.8 Å³ per cell. Number 2: volume 487.4 Å³ per cell. Number 3: volume 240.3 Å³ per cell. Number 4: volume 233.7 Å³ per cell.